Entry 1:
Density functional theory data (PBE) for Y8C5 after structural relaxation.

Cell: 7.1993 7.1993 7.0637 Å, 103.95 105.35 120.25°
Fractional coordinates of all 13 atoms:
Y (0.1927, 0.5280, 0.7207)
C (0.7565, 0.2565, 0.5000)
C (0.2435, 0.7435, 0.5000)
Y (0.7009, 0.0189, 0.7198)
Y (0.7095, 0.5442, 0.7284)
C (0.0000, 0.0000, 0.0000)
Y (0.1842, 0.0188, 0.7284)
Y (0.2991, 0.9811, 0.2802)
C (0.7333, 0.7306, 0.4639)
Y (0.2905, 0.4558, 0.2716)
Y (0.8073, 0.4720, 0.2793)
Y (0.8158, 0.9812, 0.2716)
C (0.2667, 0.2694, 0.5361)


Entry 2:
Density functional theory data (PBE) for AcBPtO5 after structural relaxation.

Cell: 5.5902 5.5902 7.0771 Å, 103.57 103.57 108.05°
Fractional coordinates of all 16 atoms:
O (0.4232, 0.2350, 0.0880)
Pt (0.0000, 0.0000, 0.0000)
B (0.7010, 0.2990, 0.2500)
O (0.6905, 0.1145, 0.3693)
B (0.2990, 0.7010, 0.7500)
O (0.8855, 0.3095, 0.1307)
O (0.3095, 0.8855, 0.6307)
O (0.9066, 0.0934, 0.7500)
Pt (0.0000, 0.0000, 0.5000)
O (0.0934, 0.9066, 0.2500)
O (0.2350, 0.4232, 0.5880)
Ac (0.6456, 0.3544, 0.7500)
O (0.5768, 0.7650, 0.9120)
Ac (0.3544, 0.6456, 0.2500)
O (0.1145, 0.6905, 0.8693)
O (0.7650, 0.5768, 0.4120)

Summary:
Formation energy (no corrections) (eV/atom): -1.94


Entry 3:
Density functional theory data (PBE) for PmCo12Ge6 after structural relaxation.

Cell: 6.6861 6.6861 6.6861 Å, 105.12 105.12 105.12°
Last column: magnetic moment on the atom in μB.
Fractional coordinates of all 19 atoms:
Co (0.5663, 0.8155, 0.5663)  1.13
Co (0.1259, 0.8741, 0.5000)  0.20
Ge (0.7552, 0.7552, 0.3003)  -0.04
Ge (0.7552, 0.3003, 0.7552)  -0.04
Ge (0.6997, 0.2448, 0.2448)  -0.04
Co (0.5000, 0.1259, 0.8741)  0.20
Ge (0.2448, 0.6997, 0.2448)  -0.04
Ge (0.2448, 0.2448, 0.6997)  -0.04
Co (0.4337, 0.4337, 0.1845)  1.13
Ge (0.3003, 0.7552, 0.7552)  -0.04
Co (0.1845, 0.4337, 0.4337)  1.13
Co (0.1259, 0.5000, 0.8741)  0.20
Pm (0.0000, 0.0000, 0.0000)  -0.11
Co (0.8155, 0.5663, 0.5663)  1.13
Co (0.8741, 0.1259, 0.5000)  0.20
Co (0.8741, 0.5000, 0.1259)  0.20
Co (0.5663, 0.5663, 0.8155)  1.13
Co (0.5000, 0.8741, 0.1259)  0.20
Co (0.4337, 0.1845, 0.4337)  1.13


Entry 4:
Density functional theory data (PBE) for La2ErCo after structural relaxation.

Cell: 3.8864 3.8864 9.4956 Å, 78.19 78.19 60.00°
Last column: magnetic moment on the atom in μB.
Fractional coordinates of all 4 atoms:
La (0.2756, 0.2756, 0.1733)  -0.03
Co (0.6659, 0.6659, 0.0022)  -0.04
Er (0.5005, 0.5005, 0.4985)  -0.25
La (0.0580, 0.0580, 0.8260)  -0.03

Summary:
Energy above the lowest structure with this stoichiometry (meV per atom): 149.0


Entry 5:
Density functional theory data (PBE) for Ca4AlPb after structural relaxation.

Cell: 6.6243 6.6243 6.6243 Å, 60.00 60.00 60.00°
Fractional coordinates of all 6 atoms:
Ca (0.6250, 0.6250, 0.1250)
Al (0.0000, 0.0000, 0.0000)
Ca (0.6250, 0.1250, 0.6250)
Pb (0.2500, 0.2500, 0.2500)
Ca (0.6250, 0.6250, 0.6250)
Ca (0.1250, 0.6250, 0.6250)


Entry 6:
Density functional theory data (PBE) for Sr3CaAc3 after structural relaxation.

Cell: 6.5803 10.8515 10.8515 Å, 120.00 90.00 90.00°
Fractional coordinates of all 14 atoms:
Ac (0.7500, 0.2329, 0.0495)
Sr (0.7500, 0.0947, 0.6249)
Ac (0.2500, 0.7671, 0.9505)
Sr (0.2500, 0.4698, 0.0947)
Ac (0.7500, 0.8166, 0.7671)
Ca (0.2500, 0.3333, 0.6667)
Sr (0.7500, 0.3751, 0.4698)
Sr (0.7500, 0.5302, 0.9053)
Ac (0.2500, 0.1834, 0.2329)
Ac (0.2500, 0.0495, 0.8166)
Sr (0.2500, 0.6249, 0.5302)
Ca (0.7500, 0.6667, 0.3333)
Ac (0.7500, 0.9505, 0.1834)
Sr (0.2500, 0.9053, 0.3751)


Entry 7:
Density functional theory data (PBE) for LiPaCrN4 after structural relaxation.

Cell: 5.9680 5.4536 6.4512 Å, 90.00 86.06 90.00°
Fractional coordinates of all 14 atoms:
Pa (0.1910, 0.2500, 0.5926)
N (0.8704, 0.4942, 0.6826)
N (0.5627, 0.7500, 0.1683)
N (0.1296, 0.5058, 0.3174)
Li (0.6085, 0.7500, 0.8559)
Li (0.3915, 0.2500, 0.1441)
Cr (0.3186, 0.7500, 0.3299)
Cr (0.6814, 0.2500, 0.6701)
N (0.4373, 0.2500, 0.8317)
N (0.5702, 0.2500, 0.4346)
N (0.4298, 0.7500, 0.5654)
N (0.1296, 0.9942, 0.3174)
N (0.8704, 0.0058, 0.6826)
Pa (0.8090, 0.7500, 0.4074)

Summary:
Formation energy (no corrections) (eV/atom): -0.81


Entry 8:
Density functional theory data (PBE) for LaGa12Ag4 after structural relaxation.

Cell: 7.7986 7.7986 7.7986 Å, 109.47 109.47 109.47°
Fractional coordinates of all 17 atoms:
Ag (0.5000, 0.5000, 0.5000)
Ga (0.2092, 0.8533, 0.3559)
Ag (0.0000, 0.5000, 0.0000)
Ga (0.1467, 0.3559, 0.5025)
Ga (0.7908, 0.1467, 0.6441)
Ag (0.0000, 0.0000, 0.5000)
Ga (0.1467, 0.6442, 0.7908)
Ga (0.8533, 0.3559, 0.2092)
Ag (0.5000, 0.0000, 0.0000)
Ga (0.3558, 0.5025, 0.1467)
Ga (0.8533, 0.6441, 0.4975)
Ga (0.6441, 0.7908, 0.1467)
Ga (0.5025, 0.1467, 0.3558)
La (0.0000, 0.0000, 0.0000)
Ga (0.4975, 0.8533, 0.6442)
Ga (0.3559, 0.2092, 0.8533)
Ga (0.6442, 0.4975, 0.8533)


Entry 9:
Density functional theory data (PBE) for AcErZnIr after structural relaxation.

Cell: 5.1425 5.1425 5.1425 Å, 60.00 60.00 60.00°
Fractional coordinates of all 4 atoms:
Ac (0.2500, 0.2500, 0.2500)
Er (0.7500, 0.7500, 0.7500)
Ir (0.0000, 0.0000, 0.0000)
Zn (0.5000, 0.5000, 0.5000)


Entry 10:
Density functional theory data (PBE) for CsBiSeCl2 after structural relaxation.

Cell: 5.6372 5.6372 5.5963 Å, 90.00 90.00 90.00°
Fractional coordinates of all 5 atoms:
Cl (0.5000, 0.0000, 0.0000)
Bi (0.0000, 0.0000, 0.0000)
Se (0.0000, 0.0000, 0.5000)
Cl (0.0000, 0.5000, 0.0000)
Cs (0.5000, 0.5000, 0.5000)

Summary:
Formation energy (no corrections) (eV/atom): -1.06
Energy above the lowest structure with this stoichiometry (meV per atom): 69.5


Entry 11:
Density functional theory data (PBE) for Pm3HoTm5 after structural relaxation.

Cell: 8.6718 8.6718 9.7870 Å, 116.30 116.30 90.00°
Fractional coordinates of all 18 atoms:
Tm (0.5000, 0.5000, 0.0000)
Tm (0.0000, 0.0000, 0.0000)
Tm (0.5727, 0.6522, 0.7249)
Tm (0.3478, 0.8478, 0.2751)
Tm (0.0727, 0.5727, 0.7249)
Pm (0.7500, 0.7500, 0.5000)
Ho (0.7500, 0.2500, 0.5000)
Tm (0.6522, 0.1522, 0.7249)
Pm (0.2500, 0.2500, 0.5000)
Pm (0.6161, 0.1161, 0.0000)
Tm (0.1522, 0.0727, 0.7249)
Pm (0.8839, 0.6161, 0.0000)
Tm (0.4273, 0.3478, 0.2751)
Pm (0.3839, 0.8839, 0.0000)
Tm (0.8478, 0.9273, 0.2751)
Pm (0.1161, 0.3839, 0.0000)
Tm (0.9273, 0.4273, 0.2751)
Ho (0.2500, 0.7500, 0.5000)


Entry 12:
Density functional theory data (PBE) for GePbS6O21 after structural relaxation.

Cell: 9.3401 9.5562 11.2309 Å, 89.77 92.57 119.00°
Fractional coordinates of all 58 atoms:
O (0.4154, 0.1068, 0.3104)
Ge (0.0186, 0.0121, 0.7409)
S (0.6826, 0.9908, 0.7911)
O (0.7879, 0.2168, 0.5228)
S (0.3174, 0.0092, 0.2089)
O (0.3223, 0.4880, 0.8285)
O (0.3937, 0.9988, 0.1055)
O (0.4112, 0.2827, 0.7879)
O (0.6063, 0.0012, 0.8945)
O (0.8761, 0.6292, 0.8013)
O (0.4912, 0.2209, 0.5998)
O (0.6777, 0.5120, 0.1715)
O (0.8339, 0.5520, 0.5863)
O (0.2121, 0.7832, 0.4772)
S (0.7025, 0.6655, 0.1303)
O (0.0524, 0.8907, 0.3827)
Ge (0.9814, 0.9879, 0.2591)
S (0.3580, 0.2325, 0.6473)
O (0.1226, 0.2060, 0.8346)
O (0.6534, 0.6778, 0.0111)
O (0.7797, 0.1800, 0.7440)
O (0.1749, 0.0407, 0.1756)
O (0.9201, 0.3149, 0.0367)
O (0.6873, 0.6552, 0.4051)
O (0.2203, 0.8200, 0.2560)
O (0.7903, 0.9338, 0.3463)
S (0.1099, 0.7675, 0.3731)
O (0.0817, 0.9090, 0.8597)
O (0.6399, 0.6108, 0.6880)
O (0.8251, 0.9593, 0.8244)
O (0.1731, 0.7426, 0.7552)
O (0.9158, 0.8244, 0.6407)
O (0.1661, 0.4480, 0.4137)
O (0.1239, 0.3708, 0.1987)
S (0.2975, 0.3345, 0.8697)
O (0.5888, 0.7173, 0.2121)
O (0.0197, 0.3904, 0.6607)
S (0.9278, 0.2561, 0.1512)
O (0.0842, 0.1756, 0.3593)
S (0.8901, 0.2325, 0.6269)
O (0.3601, 0.3892, 0.3120)
O (0.5088, 0.7791, 0.4002)
S (0.8055, 0.6489, 0.6700)
O (0.3127, 0.3448, 0.5949)
O (0.3466, 0.3222, 0.9889)
Pb (0.6905, 0.3834, 0.3758)
O (0.9476, 0.1093, 0.6173)
S (0.1945, 0.3511, 0.3300)
S (0.6420, 0.7675, 0.3527)
O (0.0799, 0.6851, 0.9633)
O (0.8269, 0.2574, 0.2448)
O (0.9803, 0.6096, 0.3393)
O (0.2097, 0.0662, 0.6537)
O (0.8774, 0.7940, 0.1654)
S (0.0722, 0.7439, 0.8488)
Pb (0.3095, 0.6166, 0.6242)
O (0.5846, 0.8932, 0.6896)
O (0.9183, 0.0910, 0.1403)

Summary:
Formation energy (no corrections) (eV/atom): -1.25


Entry 13:
Density functional theory data (PBE) for KCuRhF6 after structural relaxation.

Cell: 7.1651 7.3651 7.4429 Å, 119.66 118.77 90.00°
Last column: magnetic moment on the atom in μB.
Fractional coordinates of all 18 atoms:
F (0.1855, 0.9355, 0.3710)  0.10
K (0.0829, 0.3329, 0.1658)  0.00
Cu (0.5000, 0.0000, 0.5000)  0.67
F (0.5908, 0.3372, 0.7623)  0.03
F (0.1715, 0.9251, 0.7623)  0.03
K (0.9171, 0.6671, 0.8342)  0.00
F (0.1715, 0.3372, 0.7623)  0.03
F (0.8285, 0.6628, 0.2377)  0.03
F (0.4092, 0.0749, 0.2377)  0.03
F (0.4092, 0.6628, 0.2377)  0.03
Cu (0.0000, 0.0000, 0.5000)  0.67
F (0.5908, 0.9251, 0.7623)  0.03
Rh (0.5000, 0.5000, 0.0000)  0.10
F (0.5762, 0.3262, 0.1524)  0.00
Rh (0.5000, 0.0000, 0.0000)  0.10
F (0.8285, 0.0749, 0.2377)  0.03
F (0.8145, 0.0645, 0.6290)  0.10
F (0.4238, 0.6738, 0.8476)  0.00

Summary:
Formation energy (no corrections) (eV/atom): -1.84


Entry 14:
Density functional theory data (PBE) for FeRhSe2 after structural relaxation.

Cell: 3.6070 4.5328 4.5279 Å, 75.10 90.00 90.00°
Last column: magnetic moment on the atom in μB.
Fractional coordinates of all 4 atoms:
Rh (0.5000, 0.7500, 0.7500)  0.20
Fe (0.5000, 0.2500, 0.2500)  3.06
Se (0.0000, 0.9911, 0.9913)  0.02
Se (0.0000, 0.5089, 0.5087)  0.02

Summary:
Formation energy (no corrections) (eV/atom): 0.20


Entry 15:
Density functional theory data (PBE) for FeReCBr2 after structural relaxation.

Cell: 4.7279 4.7011 4.7279 Å, 90.00 90.00 90.00°
Last column: magnetic moment on the atom in μB.
Fractional coordinates of all 5 atoms:
C (0.5000, 0.5000, 0.5000)  -0.81
Fe (0.0000, 0.0000, 0.0000)  -0.08
Br (0.0000, 0.0000, 0.5000)  0.00
Br (0.5000, 0.0000, 0.0000)  0.04
Re (0.0000, 0.5000, 0.0000)  2.59

Summary:
Formation energy (no corrections) (eV/atom): 2.38


Entry 16:
Density functional theory data (PBE) for ZrTcRu2 after structural relaxation.

Cell: 9.4576 9.4576 9.4576 Å, 17.06 17.06 17.06°
Fractional coordinates of all 4 atoms:
Ru (0.5076, 0.5076, 0.5076)
Ru (0.9924, 0.9924, 0.9924)
Tc (0.2500, 0.2500, 0.2500)
Zr (0.7500, 0.7500, 0.7500)

Summary:
Energy above the lowest structure with this stoichiometry (meV per atom): 210.9


Entry 17:
Density functional theory data (PBE) for La2Th after structural relaxation.

Cell: 6.6088 6.6088 6.6088 Å, 60.00 60.00 60.00°
Fractional coordinates of all 6 atoms:
Th (0.0000, 0.0000, 0.0000)
Th (0.2500, 0.2500, 0.2500)
La (0.1250, 0.6250, 0.6250)
La (0.6250, 0.1250, 0.6250)
La (0.6250, 0.6250, 0.1250)
La (0.6250, 0.6250, 0.6250)

Summary:
Energy above the lowest structure with this stoichiometry (meV per atom): 282.5


Entry 18:
Density functional theory data (PBE) for AlCrC3 after structural relaxation.

Cell: 3.8171 3.8171 3.8171 Å, 90.00 90.00 90.00°
Fractional coordinates of all 5 atoms:
C (0.5000, 0.0000, 0.0000)
Al (0.5000, 0.5000, 0.5000)
C (0.0000, 0.0000, 0.5000)
C (0.0000, 0.5000, 0.0000)
Cr (0.0000, 0.0000, 0.0000)

Summary:
Energy above the lowest structure with this stoichiometry (meV per atom): 0.0


Entry 19:
Density functional theory data (PBE) for ZnSb2Se after structural relaxation.

Cell: 5.0873 5.0873 5.0873 Å, 60.00 60.00 60.00°
Fractional coordinates of all 4 atoms:
Sb (0.7500, 0.7500, 0.7500)
Zn (0.0000, 0.0000, 0.0000)
Sb (0.2500, 0.2500, 0.2500)
Se (0.5000, 0.5000, 0.5000)

Summary:
Formation energy (no corrections) (eV/atom): 0.26
Energy above the lowest structure with this stoichiometry (meV per atom): 458.4


Entry 20:
Density functional theory data (PBE) for TiOsPb after structural relaxation.

Cell: 3.1732 3.1102 12.0953 Å, 90.00 90.00 90.00°
Fractional coordinates of all 6 atoms:
Ti (0.0000, 0.5000, 0.0347)
Os (0.5000, 0.5000, 0.4262)
Pb (0.0000, 0.0000, 0.2558)
Pb (0.0000, 0.5000, 0.7558)
Ti (0.0000, 0.0000, 0.5347)
Os (0.5000, 0.0000, 0.9262)

Summary:
Energy above the lowest structure with this stoichiometry (meV per atom): 142.3


These records have total moment values of 0.0, 0.0, 7.2, 0.6, 0.0, 0.0, 0.0, 0.0, 0.0, 0.0, 0.0, 0.0, 2.0, 3.4, 1.4, 0.0, 0.0, 0.0, 0.0, 0.0 Bohr magnetons per cell, in the order they appear.
These records have calculated total energy values of -7.771, -7.143, -6.266, -5.340, -2.281, -2.713, -8.577, -3.103, -5.136, -3.442, -4.308, -5.977, -4.486, -5.496, -4.318, -9.215, -5.470, -6.556, -2.988, -7.535 eV per atom, in the order they appear.